No. 1
First-principles (GGA-PBEsol) data for a relaxed structure of YTlCr2, as listed in Alexandria via LeMat-Bulk.

```
YTlCr2
1.0
4.1496 0.0000 0.0000
0.0000 4.1496 0.0000
0.0000 0.0000 9.0987
Y Tl Cr
2 2 4
direct
0.0000 0.0000 0.0000
0.5000 0.5000 0.5000
0.0000 0.5000 0.7500
0.5000 0.0000 0.2500
0.0000 0.0000 0.5000
0.0000 0.5000 0.2500
0.5000 0.0000 0.7500
0.5000 0.5000 0.0000
```

Summary:
Space group: I-4m2 (119)
DFT formation energy (meV per atom): 559.1

No. 2
First-principles (GGA-PBEsol) data for a relaxed structure of Li3CoN, as listed in Alexandria via LeMat-Bulk.

```
Li3CoN
1.0
3.8252 0.0000 0.0000
0.0000 3.8252 0.0000
0.0000 0.0000 3.8252
Li Co N
3 1 1
direct
0.0000 0.0000 0.5000
0.0000 0.5000 0.0000
0.5000 0.0000 0.0000
0.5000 0.5000 0.5000
0.0000 0.0000 0.0000
```

Summary:
Space group: Pm-3m (221)
E_form (uncorrected) (eV per atom): 0.373
Energy above the lowest structure with this stoichiometry (meV/atom): 0

No. 3
First-principles (GGA-PBEsol) data for a relaxed structure of Li2B11H11, as listed in Alexandria via LeMat-Bulk.

```
Li2B11H11
1.0
0.0000 5.4405 5.2061
4.0662 0.0000 5.2061
4.0662 5.4405 0.0000
Li B H
2 11 11
direct
0.0000 0.0000 0.5000
0.5000 0.5000 0.0000
0.1201 0.3417 0.8799
0.1271 0.6175 0.7069
0.1349 0.4052 0.5948
0.2859 0.5899 0.4101
0.2931 0.4515 0.8729
0.3417 0.1201 0.6583
0.4052 0.1349 0.8651
0.4515 0.2931 0.3825
0.4857 0.4857 0.5143
0.5899 0.2859 0.7141
0.6175 0.1271 0.5485
0.2018 0.5678 0.0371
0.2624 0.7482 0.2518
0.3403 0.9379 0.6597
0.4289 0.9778 0.0222
0.5678 0.2018 0.1933
0.6017 0.6017 0.3983
0.7482 0.2624 0.7376
0.8067 0.9629 0.4322
0.9379 0.3403 0.0621
0.9629 0.8067 0.7982
0.9778 0.4289 0.5711
```

Summary:
Space group: Fmm2 (42)
Total DFT energy (no corrections) (eV/atom): -5.095

No. 4
First-principles (GGA-PBEsol) data for a relaxed structure of TiBiI2, as listed in Alexandria via LeMat-Bulk.

```
TiBiI2
1.0
9.7838 0.0000 0.0000
0.0000 9.7838 0.0000
0.0000 0.0000 5.5148
Ti Bi I
4 4 8
direct
0.0000 0.0000 0.0000
0.0000 0.5000 0.2500
0.5000 0.0000 0.7500
0.5000 0.5000 0.5000
0.0000 0.0000 0.5000
0.0000 0.5000 0.7500
0.5000 0.0000 0.2500
0.5000 0.5000 0.0000
0.1120 0.2500 0.1250
0.2500 0.6120 0.3750
0.2500 0.8880 0.8750
0.3880 0.2500 0.6250
0.6120 0.7500 0.6250
0.7500 0.1120 0.8750
0.7500 0.3880 0.3750
0.8880 0.7500 0.1250
```

Summary:
Space group: I-42d (122)
E_form (uncorrected) (eV per atom): -0.110

No. 5
First-principles (GGA-PBEsol) data for a relaxed structure of BePOs2, as listed in Alexandria via LeMat-Bulk.

```
BePOs2
1.0
2.9183 0.0000 0.0000
0.0000 2.9183 0.0000
0.0000 0.0000 5.5274
Be P Os
1 1 2
direct
0.0000 0.0000 0.0000
0.5000 0.5000 0.7758
0.0000 0.0000 0.5510
0.5000 0.5000 0.1935
```

Summary:
Space group: P4mm (99)
DFT formation energy (meV per atom): -192.0

No. 6
First-principles (GGA-PBEsol) data for a relaxed structure of La2OsRh, as listed in Alexandria via LeMat-Bulk.

```
La2OsRh
1.0
4.0586 0.0000 0.0000
-2.0293 3.5149 0.0000
0.0000 0.0000 19.6327
La Os Rh
6 3 3
direct
0.0000 0.0000 0.2489
0.0000 0.0000 0.7511
0.3333 0.6667 0.4177
0.3333 0.6667 0.9156
0.6667 0.3333 0.0844
0.6667 0.3333 0.5823
0.0000 0.0000 0.5000
0.3333 0.6667 0.1667
0.6667 0.3333 0.8333
0.0000 0.0000 0.0000
0.3333 0.6667 0.6667
0.6667 0.3333 0.3333
```

Summary:
Space group: R-3m (166)
DFT formation energy (meV per atom): 126.1

No. 7
First-principles (GGA-PBEsol) data for a relaxed structure of MgSnAuO2, as listed in Alexandria via LeMat-Bulk.

```
MgSnAuO2
1.0
4.0698 0.0000 0.0000
0.0000 4.0698 0.0000
0.0000 0.0000 5.4149
Mg Sn Au O
1 1 1 2
direct
0.0000 0.0000 0.0000
0.5000 0.5000 0.0000
0.5000 0.5000 0.5000
0.0000 0.5000 0.5000
0.5000 0.0000 0.5000
```

Summary:
Space group: P4/mmm (123)
E_form (uncorrected) (eV per atom): 0.211

No. 8
First-principles (GGA-PBEsol) data for a relaxed structure of BeOsW2, as listed in Alexandria via LeMat-Bulk.

```
BeOsW2
1.0
2.7897 0.0000 0.0000
0.0000 2.7897 0.0000
0.0000 0.0000 6.9067
Be Os W
1 1 2
direct
0.0000 0.0000 0.0000
0.5000 0.5000 0.1882
0.0000 0.0000 0.4462
0.5000 0.5000 0.7633
```

Summary:
Space group: P4mm (99)
DFT formation energy (meV per atom): 87.1

No. 9
First-principles (GGA-PBEsol) data for a relaxed structure of BaNa3Ga, as listed in Alexandria via LeMat-Bulk.

```
BaNa3Ga
1.0
6.6487 0.0000 0.0000
0.0000 6.6487 0.0000
0.0000 0.0000 6.6487
Ba Na Ga
1 3 1
direct
0.0000 0.0000 0.0000
0.0000 0.0000 0.5000
0.0000 0.5000 0.0000
0.5000 0.0000 0.0000
0.5000 0.5000 0.5000
```

Summary:
Space group: Pm-3m (221)
Energy above the lowest structure with this stoichiometry (meV/atom): 816
DFT formation energy (meV per atom): 921.8

No. 10
First-principles (GGA-PBEsol) data for a relaxed structure of Nd2Ge5Ir3, as listed in Alexandria via LeMat-Bulk.

```
Nd2Ge5Ir3
1.0
-5.0855 5.9186 3.0159
5.0855 -5.9186 3.0159
5.0855 5.9186 -3.0159
Nd Ge Ir
4 10 6
direct
0.1325 0.2288 0.3613
0.3675 0.7288 0.0963
0.6325 0.2712 0.9037
0.8675 0.7712 0.6387
0.0255 0.7500 0.2755
0.0999 0.6603 0.7602
0.2500 0.2500 0.0000
0.4001 0.1603 0.5603
0.4745 0.7500 0.7245
0.5255 0.2500 0.2755
0.5999 0.8397 0.4397
0.7500 0.7500 0.0000
0.9001 0.3397 0.2398
0.9745 0.2500 0.7245
0.1411 0.8902 0.0314
0.2500 0.7500 0.5000
0.3589 0.3902 0.7491
0.6411 0.6098 0.2509
0.7500 0.2500 0.5000
0.8589 0.1098 0.9686
```

Summary:
Space group: Ibam (72)
DFT formation energy (meV per atom): -788.9

No. 11
First-principles (GGA-PBEsol) data for a relaxed structure of NbCuP3, as listed in Alexandria via LeMat-Bulk.

```
NbCuP3
1.0
4.3473 0.0000 0.0000
0.0000 4.3473 0.0000
0.0000 0.0000 4.3473
Nb Cu P
1 1 3
direct
0.0000 0.0000 0.0000
0.5000 0.5000 0.5000
0.0000 0.5000 0.5000
0.5000 0.0000 0.5000
0.5000 0.5000 0.0000
```

Summary:
Space group: Pm-3m (221)
Energy above the lowest structure with this stoichiometry (meV/atom): 33
DFT formation energy (meV per atom): 796.8

No. 12
First-principles (GGA-PBEsol) data for a relaxed structure of LiEu2Tl, as listed in Alexandria via LeMat-Bulk.

```
LiEu2Tl
1.0
7.7657 0.0000 0.0000
0.0000 7.7657 0.0000
0.0000 0.0000 7.7657
Li Eu Tl
4 8 4
direct
0.0000 0.0000 0.0000
0.0000 0.5000 0.5000
0.5000 0.0000 0.5000
0.5000 0.5000 0.0000
0.2500 0.2500 0.2500
0.2500 0.2500 0.7500
0.2500 0.7500 0.2500
0.2500 0.7500 0.7500
0.7500 0.2500 0.2500
0.7500 0.2500 0.7500
0.7500 0.7500 0.2500
0.7500 0.7500 0.7500
0.0000 0.0000 0.5000
0.0000 0.5000 0.0000
0.5000 0.0000 0.0000
0.5000 0.5000 0.5000
```

Summary:
Space group: Fm-3m (225)
DFT formation energy (meV per atom): -252.5

Short version: total magnetization = 1.693 0.432 0.000 0.131 0.000 0.000 0.063 0.000 0.003 0.000 0.032 3.557 μB/atom, in the order given.